[1]
First-principles (PBE) data for crystalline BaNaSr2Ga at its relaxed geometry, as listed in Alexandria.

Results
- Energy of formation from the pure elements: -0.07 kcal/mol of atoms
- Polymorph energy (0 for the lowest one): 0.066 eV per atom

Unit cell a=6.312 b=6.312 c=6.004 alpha=90.00 beta=90.00 gamma=90.00
Positions (direct):
Ba1 0.000 0.000 0.000
Na1 0.500 0.500 0.000
Sr1 0.000 0.500 0.500
Sr2 0.500 0.000 0.500
Ga1 0.500 0.500 0.500

---

[2]
First-principles (PBE) data for crystalline BaNaSr2Ga at its relaxed geometry, as listed in Alexandria.

Results
- Energy of formation from the pure elements: -1.60 kcal/mol of atoms
- Polymorph energy (0 for the lowest one): 0.000 eV per atom

Unit cell a=6.334 b=6.334 c=6.451 alpha=90.00 beta=90.00 gamma=90.00
Positions (direct):
Ba1 0.000 0.000 0.000
Na1 0.500 0.500 0.000
Sr1 0.000 0.500 0.500
Sr2 0.500 0.000 0.500
Ga1 0.000 0.000 0.500

---

[3]
First-principles (PBE) data for crystalline BaNaGaTe3 at its relaxed geometry, as listed in Alexandria.

Results
- Uncorrected formation energy: -0.855 eV/atom

Unit cell a=9.450 b=4.571 c=10.395 alpha=90.00 beta=106.28 gamma=90.00
Positions (direct):
Ba1 0.240 0.250 0.246
Ba2 0.760 0.750 0.754
Na1 0.344 0.750 0.901
Na2 0.656 0.250 0.099
Ga1 0.086 0.250 0.630
Ga2 0.914 0.750 0.370
Te1 0.066 0.250 0.873
Te2 0.199 0.750 0.541
Te3 0.487 0.750 0.212
Te4 0.513 0.250 0.788
Te5 0.801 0.250 0.459
Te6 0.934 0.750 0.127

---

[4]
First-principles (PBE) data for crystalline BaNa2TiGa at its relaxed geometry, as listed in Alexandria.

Results
- Energy of formation from the pure elements: 32.80 kcal/mol of atoms

Unit cell a=5.848 b=5.848 c=5.723 alpha=90.00 beta=90.00 gamma=90.00
Positions (direct):
Ba1 0.000 0.000 0.000
Na1 0.000 0.500 0.000
Na2 0.500 0.000 0.000
Ti1 0.500 0.500 0.500
Ga1 0.000 0.000 0.500

---

[5]
First-principles (PBE) data for crystalline BaNaTlGa at its relaxed geometry, as listed in Alexandria.

Results
- Energy of formation from the pure elements: -4.33 kcal/mol of atoms

Unit cell a=5.629 b=5.629 c=5.629 alpha=60.00 beta=60.00 gamma=60.00
Positions (direct):
Ba1 0.000 0.000 0.000
Na1 0.500 0.500 0.500
Tl1 0.750 0.750 0.750
Ga1 0.250 0.250 0.250

---

[6]
First-principles (PBE) data for crystalline Ba2NaTl6Ga at its relaxed geometry, as listed in Alexandria.

Results
- Energy of formation from the pure elements: -4.37 kcal/mol of atoms

Unit cell a=14.241 b=14.241 c=14.241 alpha=30.98 beta=30.98 gamma=30.98
Positions (direct):
Ba1 0.110 0.110 0.110
Ba2 0.282 0.282 0.282
Ba3 0.718 0.718 0.718
Ba4 0.890 0.890 0.890
Na1 0.425 0.425 0.425
Na2 0.575 0.575 0.575
Tl1 0.080 0.663 0.663
Tl2 0.220 0.220 0.659
Tl3 0.220 0.659 0.220
Tl4 0.337 0.337 0.920
Tl5 0.337 0.920 0.337
Tl6 0.341 0.780 0.780
Tl7 0.659 0.220 0.220
Tl8 0.663 0.080 0.663
Tl9 0.663 0.663 0.080
Tl10 0.780 0.341 0.780
Tl11 0.780 0.780 0.341
Tl12 0.920 0.337 0.337
Ga1 0.000 0.000 0.000
Ga2 0.500 0.500 0.500

---

[7]
First-principles (PBE) data for crystalline Ba4NaTl2Ga at its relaxed geometry, as listed in Alexandria.

Results
- Energy of formation from the pure elements: -6.61 kcal/mol of atoms

Unit cell a=10.565 b=10.565 c=10.565 alpha=33.43 beta=33.43 gamma=33.43
Positions (direct):
Ba1 0.117 0.117 0.117
Ba2 0.368 0.368 0.368
Ba3 0.632 0.632 0.632
Ba4 0.883 0.883 0.883
Na1 0.500 0.500 0.500
Tl1 0.246 0.246 0.246
Tl2 0.754 0.754 0.754
Ga1 0.000 0.000 0.000

---

[8]
First-principles (PBE) data for crystalline BaNaZnGa at its relaxed geometry, as listed in Alexandria.

Results
- Energy of formation from the pure elements: -1.76 kcal/mol of atoms

Unit cell a=5.474 b=5.474 c=5.474 alpha=60.00 beta=60.00 gamma=60.00
Positions (direct):
Ba1 0.000 0.000 0.000
Na1 0.500 0.500 0.500
Zn1 0.750 0.750 0.750
Ga1 0.250 0.250 0.250

---

[9]
First-principles (PBE) data for crystalline Ba3NbGa at its relaxed geometry, as listed in Alexandria.

Results
- Energy of formation from the pure elements: 17.84 kcal/mol of atoms
- Polymorph energy (0 for the lowest one): 0.000 eV per atom

Unit cell a=6.052 b=6.052 c=6.052 alpha=90.00 beta=90.00 gamma=90.00
Positions (direct):
Ba1 0.000 0.000 0.500
Ba2 0.000 0.500 0.000
Ba3 0.500 0.000 0.000
Nb1 0.000 0.000 0.000
Ga1 0.500 0.500 0.500

---

[10]
First-principles (PBE) data for crystalline Ba2NbGa4 at its relaxed geometry, as listed in Alexandria.

Results
- Energy of formation from the pure elements: -3.81 kcal/mol of atoms

Unit cell a=9.250 b=9.250 c=9.250 alpha=147.66 beta=147.66 gamma=46.39
Positions (direct):
Ba1 0.141 0.141 0.000
Ba2 0.859 0.859 0.000
Nb1 0.500 0.500 0.000
Ga1 0.000 0.500 0.500
Ga2 0.352 0.352 0.000
Ga3 0.500 0.000 0.500
Ga4 0.648 0.648 0.000

---

[11]
First-principles (PBE) data for crystalline Ba2NbGaNi at its relaxed geometry, as listed in Alexandria.

Results
- Energy of formation from the pure elements: 20.74 kcal/mol of atoms

Unit cell a=6.268 b=6.268 c=5.019 alpha=90.00 beta=90.00 gamma=90.00
Positions (direct):
Ba1 0.000 0.500 0.000
Ba2 0.500 0.000 0.000
Nb1 0.000 0.000 0.500
Ga1 0.000 0.000 0.000
Ni1 0.500 0.500 0.500

---

[12]
First-principles (PBE) data for crystalline Ba4Nb3GaO12 at its relaxed geometry, as listed in Alexandria.

Results
- Uncorrected formation energy: -2.656 eV/atom

Unit cell a=7.148 b=7.148 c=7.148 alpha=109.47 beta=109.47 gamma=109.47
Positions (direct):
Ba1 0.000 0.000 0.500
Ba2 0.000 0.500 0.000
Ba3 0.500 0.000 0.000
Ba4 0.500 0.500 0.500
Nb1 0.000 0.500 0.500
Nb2 0.500 0.000 0.500
Nb3 0.500 0.500 0.000
Ga1 0.000 0.000 0.000
O1 0.000 0.251 0.251
O2 0.000 0.749 0.749
O3 0.250 0.500 0.750
O4 0.250 0.750 0.500
O5 0.251 0.000 0.251
O6 0.251 0.251 0.000
O7 0.500 0.250 0.750
O8 0.500 0.750 0.250
O9 0.749 0.000 0.749
O10 0.749 0.749 0.000
O11 0.750 0.250 0.500
O12 0.750 0.500 0.250

---

[13]
First-principles (PBE) data for crystalline Ba3NbGa2O9 at its relaxed geometry, as listed in Alexandria.

Results
- Uncorrected formation energy: -2.363 eV/atom

Unit cell a=5.758 b=5.758 c=7.110 alpha=90.00 beta=90.00 gamma=120.00
Positions (direct):
Ba1 0.000 0.000 0.000
Ba2 0.333 0.667 0.674
Ba3 0.667 0.333 0.326
Nb1 0.000 0.000 0.500
Ga1 0.333 0.667 0.168
Ga2 0.667 0.333 0.832
O1 0.000 0.500 0.000
O2 0.166 0.332 0.335
O3 0.166 0.834 0.335
O4 0.332 0.166 0.665
O5 0.500 0.000 0.000
O6 0.500 0.500 0.000
O7 0.668 0.834 0.335
O8 0.834 0.166 0.665
O9 0.834 0.668 0.665

---

[14]
First-principles (PBE) data for crystalline BaNbGaO5 at its relaxed geometry, as listed in Alexandria.

Results
- Uncorrected formation energy: -2.504 eV/atom

Unit cell a=5.997 b=5.997 c=7.697 alpha=104.45 beta=104.45 gamma=106.02
Positions (direct):
Ba1 0.170 0.830 0.750
Ba2 0.830 0.170 0.250
Nb1 0.500 0.500 0.000
Nb2 0.500 0.500 0.500
Ga1 0.190 0.810 0.250
Ga2 0.810 0.190 0.750
O1 0.141 0.273 0.903
O2 0.214 0.611 0.401
O3 0.273 0.141 0.403
O4 0.389 0.786 0.099
O5 0.447 0.553 0.750
O6 0.553 0.447 0.250
O7 0.611 0.214 0.901
O8 0.727 0.859 0.597
O9 0.786 0.389 0.599
O10 0.859 0.727 0.097

---

[15]
First-principles (PBE) data for crystalline BaNbGaO4 at its relaxed geometry, as listed in Alexandria.

Results
- Uncorrected formation energy: -1.792 eV/atom

Unit cell a=6.321 b=6.321 c=6.321 alpha=60.00 beta=60.00 gamma=60.00
Positions (direct):
Ba1 0.000 0.000 0.000
Nb1 0.250 0.250 0.250
Ga1 0.500 0.500 0.500
O1 0.372 0.372 0.372
O2 0.372 0.372 0.885
O3 0.372 0.885 0.372
O4 0.885 0.372 0.372

---

[16]
First-principles (PBE) data for crystalline Ba3NbGa2O8 at its relaxed geometry, as listed in Alexandria.

Results
- Uncorrected formation energy: -2.359 eV/atom

Unit cell a=5.848 b=5.848 c=7.547 alpha=90.00 beta=90.00 gamma=120.00
Positions (direct):
Ba1 0.000 0.000 0.000
Ba2 0.333 0.667 0.663
Ba3 0.667 0.333 0.337
Nb1 0.000 0.000 0.500
Ga1 0.333 0.667 0.223
Ga2 0.667 0.333 0.777
O1 0.164 0.328 0.333
O2 0.164 0.836 0.333
O3 0.328 0.164 0.667
O4 0.333 0.667 0.987
O5 0.667 0.333 0.013
O6 0.672 0.836 0.333
O7 0.836 0.164 0.667
O8 0.836 0.672 0.667

---

[17]
First-principles (PBE) data for crystalline Ba2NbGaO6 at its relaxed geometry, as listed in Alexandria.

Results
- Uncorrected formation energy: -2.559 eV/atom

Unit cell a=10.204 b=10.204 c=10.204 alpha=33.47 beta=33.47 gamma=33.47
Positions (direct):
Ba1 0.128 0.128 0.128
Ba2 0.282 0.282 0.282
Ba3 0.718 0.718 0.718
Ba4 0.872 0.872 0.872
Nb1 0.000 0.000 0.000
Nb2 0.500 0.500 0.500
Ga1 0.405 0.405 0.405
Ga2 0.595 0.595 0.595
O1 0.146 0.612 0.612
O2 0.204 0.204 0.712
O3 0.204 0.712 0.204
O4 0.288 0.796 0.796
O5 0.388 0.388 0.854
O6 0.388 0.854 0.388
O7 0.612 0.146 0.612
O8 0.612 0.612 0.146
O9 0.712 0.204 0.204
O10 0.796 0.288 0.796
O11 0.796 0.796 0.288
O12 0.854 0.388 0.388

---

[18]
First-principles (PBE) data for crystalline BaTiNbGaO6 at its relaxed geometry, as listed in Alexandria.

Results
- Uncorrected formation energy: -2.488 eV/atom

Unit cell a=5.715 b=5.715 c=5.715 alpha=60.00 beta=60.00 gamma=60.00
Positions (direct):
Ba1 0.000 0.000 0.000
Ti1 0.250 0.250 0.250
Nb1 0.750 0.750 0.750
Ga1 0.500 0.500 0.500
O1 0.002 0.002 0.498
O2 0.002 0.498 0.002
O3 0.002 0.498 0.498
O4 0.498 0.002 0.002
O5 0.498 0.002 0.498
O6 0.498 0.498 0.002

---

[19]
First-principles (PBE) data for crystalline BaNb2GaPt at its relaxed geometry, as listed in Alexandria.

Results
- Energy of formation from the pure elements: 16.84 kcal/mol of atoms

Unit cell a=5.026 b=5.026 c=4.863 alpha=90.00 beta=90.00 gamma=90.00
Positions (direct):
Ba1 0.000 0.000 0.000
Nb1 0.000 0.500 0.500
Nb2 0.500 0.000 0.500
Ga1 0.500 0.500 0.500
Pt1 0.500 0.500 0.000

---

[20]
First-principles (PBE) data for crystalline BaNbGa2Ru at its relaxed geometry, as listed in Alexandria.

Results
- Energy of formation from the pure elements: 5.51 kcal/mol of atoms

Unit cell a=5.219 b=5.219 c=4.771 alpha=90.00 beta=90.00 gamma=90.00
Positions (direct):
Ba1 0.000 0.000 0.000
Nb1 0.500 0.500 0.500
Ga1 0.000 0.500 0.500
Ga2 0.500 0.000 0.500
Ru1 0.500 0.500 0.000

---

[21]
First-principles (PBE) data for crystalline Ba2NbGaS6 at its relaxed geometry, as listed in Alexandria.

Results
- Uncorrected formation energy: -1.237 eV/atom

Unit cell a=12.178 b=12.178 c=12.178 alpha=32.98 beta=32.98 gamma=32.98
Positions (direct):
Ba1 0.122 0.122 0.122
Ba2 0.293 0.293 0.293
Ba3 0.707 0.707 0.707
Ba4 0.878 0.878 0.878
Nb1 0.000 0.000 0.000
Nb2 0.500 0.500 0.500
Ga1 0.415 0.415 0.415
Ga2 0.585 0.585 0.585
S1 0.124 0.624 0.624
S2 0.208 0.208 0.708
S3 0.208 0.708 0.208
S4 0.292 0.792 0.792
S5 0.376 0.376 0.876
S6 0.376 0.876 0.376
S7 0.624 0.124 0.624
S8 0.624 0.624 0.124
S9 0.708 0.208 0.208
S10 0.792 0.292 0.792
S11 0.792 0.792 0.292
S12 0.876 0.376 0.376

---

[22]
First-principles (PBE) data for crystalline BaNb2GaSb at its relaxed geometry, as listed in Alexandria.

Results
- Uncorrected formation energy: 0.935 eV/atom

Unit cell a=5.266 b=5.266 c=5.557 alpha=90.00 beta=90.00 gamma=90.00
Positions (direct):
Ba1 0.000 0.000 0.000
Nb1 0.000 0.500 0.500
Nb2 0.500 0.000 0.500
Ga1 0.500 0.500 0.000
Sb1 0.500 0.500 0.500

---

[23]
First-principles (PBE) data for crystalline Ba2NbGaSb at its relaxed geometry, as listed in Alexandria.

Results
- Uncorrected formation energy: 0.247 eV/atom

Unit cell a=6.189 b=6.189 c=5.044 alpha=90.00 beta=90.00 gamma=90.00
Positions (direct):
Ba1 0.000 0.500 0.000
Ba2 0.500 0.000 0.000
Nb1 0.000 0.000 0.500
Ga1 0.000 0.000 0.000
Sb1 0.500 0.500 0.500